Entry 1:
! GGA-PBE CaDy4HoS8, relaxed; values from VASP
! final energy	-6.15	eV/atom
! SG	R3m
! total magnetic moment	0.000	μB per atom
&SYSTEM
  ibrav = 0, nat = 14, ntyp = 4
/
ATOMIC_SPECIES
Ca 40.08 Ca.upf
Dy 162.50 Dy.upf
Ho 164.93 Ho.upf
S 32.06 S.upf
ATOMIC_POSITIONS crystal
Ca 0.000 0.000 0.000
Dy 0.373 0.373 0.881
Dy 0.373 0.881 0.373
Dy 0.750 0.750 0.750
Dy 0.881 0.373 0.373
Ho 0.373 0.373 0.373
S 0.135 0.135 0.135
S 0.136 0.136 0.594
S 0.136 0.594 0.136
S 0.149 0.616 0.616
S 0.594 0.136 0.136
S 0.616 0.149 0.616
S 0.616 0.616 0.149
S 0.617 0.617 0.617
CELL_PARAMETERS angstrom
4.041 2.333 6.592
-4.041 2.333 6.592
0.000 -4.667 6.592

=====

Entry 2:
! GGA-PBE CaDy4Ho3S8, relaxed; values from VASP
! final energy	-6.19	eV/atom
! SG	R-3m
! total magnetic moment	0.000	μB per atom
&SYSTEM
  ibrav = 0, nat = 16, ntyp = 4
/
ATOMIC_SPECIES
Ca 40.08 Ca.upf
Dy 162.50 Dy.upf
Ho 164.93 Ho.upf
S 32.06 S.upf
ATOMIC_POSITIONS crystal
Ca 0.000 0.000 0.000
Dy 0.000 0.000 0.500
Dy 0.000 0.500 0.000
Dy 0.500 0.000 0.000
Dy 0.500 0.500 0.500
Ho 0.000 0.500 0.500
Ho 0.500 0.000 0.500
Ho 0.500 0.500 0.000
S 0.251 0.251 0.251
S 0.251 0.251 0.748
S 0.251 0.748 0.251
S 0.252 0.749 0.749
S 0.748 0.251 0.251
S 0.749 0.252 0.749
S 0.749 0.749 0.252
S 0.749 0.749 0.749
CELL_PARAMETERS angstrom
3.907 2.256 6.385
-3.907 2.256 6.385
0.000 -4.511 6.385

=====

Entry 3:
! GGA-PBE CaDyHo4S8, relaxed; values from VASP
! final energy	-6.14	eV/atom
! SG	R3m
! total magnetic moment	0.000	μB per atom
&SYSTEM
  ibrav = 0, nat = 14, ntyp = 4
/
ATOMIC_SPECIES
Ca 40.08 Ca.upf
Dy 162.50 Dy.upf
Ho 164.93 Ho.upf
S 32.06 S.upf
ATOMIC_POSITIONS crystal
Ca 0.000 0.000 0.000
Dy 0.627 0.627 0.627
Ho 0.119 0.627 0.627
Ho 0.250 0.250 0.250
Ho 0.627 0.119 0.627
Ho 0.627 0.627 0.119
S 0.382 0.382 0.852
S 0.382 0.852 0.382
S 0.383 0.383 0.383
S 0.407 0.865 0.865
S 0.852 0.382 0.382
S 0.864 0.864 0.864
S 0.865 0.407 0.865
S 0.865 0.865 0.407
CELL_PARAMETERS angstrom
4.028 2.326 6.587
-4.028 2.326 6.587
0.000 -4.651 6.587

=====

Entry 4:
! GGA-PBE CaDy2HoSb4, relaxed; values from VASP
! final energy	-5.06	eV/atom
! SG	P2/m
! total magnetic moment	0.000	μB per atom
&SYSTEM
  ibrav = 0, nat = 8, ntyp = 4
/
ATOMIC_SPECIES
Ca 40.08 Ca.upf
Dy 162.50 Dy.upf
Ho 164.93 Ho.upf
Sb 121.76 Sb.upf
ATOMIC_POSITIONS crystal
Ca 0.000 0.000 0.000
Dy 0.500 0.000 0.500
Dy 0.500 0.500 0.000
Ho 0.000 0.500 0.500
Sb 0.252 0.000 0.747
Sb 0.256 0.500 0.257
Sb 0.744 0.500 0.743
Sb 0.748 0.000 0.253
CELL_PARAMETERS angstrom
7.661 0.000 0.000
0.000 4.381 0.000
-2.509 0.000 7.248

=====

Entry 5:
! GGA-PBE CaDyHoSc, relaxed; values from VASP
! final energy	-4.20	eV/atom
! SG	F-43m
! energy relative to the elements	0.181	eV per atom
! total magnetic moment	0.000	μB per atom
&SYSTEM
  ibrav = 0, nat = 16, ntyp = 4
/
ATOMIC_SPECIES
Ca 40.08 Ca.upf
Dy 162.50 Dy.upf
Ho 164.93 Ho.upf
Sc 44.96 Sc.upf
ATOMIC_POSITIONS crystal
Ca 0.000 0.000 0.000
Ca 0.000 0.500 0.500
Ca 0.500 0.000 0.500
Ca 0.500 0.500 0.000
Dy 0.250 0.250 0.250
Dy 0.250 0.750 0.750
Dy 0.750 0.250 0.750
Dy 0.750 0.750 0.250
Ho 0.250 0.250 0.750
Ho 0.250 0.750 0.250
Ho 0.750 0.250 0.250
Ho 0.750 0.750 0.750
Sc 0.000 0.000 0.500
Sc 0.000 0.500 0.000
Sc 0.500 0.000 0.000
Sc 0.500 0.500 0.500
CELL_PARAMETERS angstrom
7.916 0.000 0.000
0.000 7.916 0.000
0.000 0.000 7.916

=====

Entry 6:
! GGA-PBE Ca3DyHo2Se6, relaxed; values from VASP
! final energy	-5.26	eV/atom
! SG	C2/m
! total magnetic moment	0.000	μB per atom
&SYSTEM
  ibrav = 0, nat = 12, ntyp = 4
/
ATOMIC_SPECIES
Ca 40.08 Ca.upf
Dy 162.50 Dy.upf
Ho 164.93 Ho.upf
Se 78.96 Se.upf
ATOMIC_POSITIONS crystal
Ca 0.000 0.000 0.000
Ca 0.334 0.666 0.000
Ca 0.666 0.334 0.000
Dy 0.500 0.500 0.500
Ho 0.167 0.833 0.500
Ho 0.833 0.167 0.500
Se 0.084 0.419 0.255
Se 0.247 0.247 0.744
Se 0.419 0.084 0.255
Se 0.581 0.916 0.745
Se 0.753 0.753 0.256
Se 0.916 0.581 0.745
CELL_PARAMETERS angstrom
3.552 -6.146 0.000
3.552 6.146 0.000
-2.372 0.000 6.818

=====

Entry 7:
! GGA-PBE CaDy3Ho4Se8, relaxed; values from VASP
! final energy	-5.63	eV/atom
! SG	R-3m
! total magnetic moment	0.000	μB per atom
&SYSTEM
  ibrav = 0, nat = 16, ntyp = 4
/
ATOMIC_SPECIES
Ca 40.08 Ca.upf
Dy 162.50 Dy.upf
Ho 164.93 Ho.upf
Se 78.96 Se.upf
ATOMIC_POSITIONS crystal
Ca 0.000 0.000 0.000
Dy 0.000 0.500 0.500
Dy 0.500 0.000 0.500
Dy 0.500 0.500 0.000
Ho 0.000 0.000 0.500
Ho 0.000 0.500 0.000
Ho 0.500 0.000 0.000
Ho 0.500 0.500 0.500
Se 0.249 0.249 0.249
Se 0.250 0.749 0.749
Se 0.251 0.251 0.750
Se 0.251 0.750 0.251
Se 0.749 0.250 0.749
Se 0.749 0.749 0.250
Se 0.750 0.251 0.251
Se 0.751 0.751 0.751
CELL_PARAMETERS angstrom
4.078 2.354 6.655
-4.078 2.354 6.655
0.000 -4.709 6.655

=====

Entry 8:
! GGA-PBE Ca3Dy3HoSe8, relaxed; values from VASP
! final energy	-5.40	eV/atom
! SG	R-3m
! total magnetic moment	0.000	μB per atom
&SYSTEM
  ibrav = 0, nat = 15, ntyp = 4
/
ATOMIC_SPECIES
Ca 40.08 Ca.upf
Dy 162.50 Dy.upf
Ho 164.93 Ho.upf
Se 78.96 Se.upf
ATOMIC_POSITIONS crystal
Ca 0.000 0.500 0.500
Ca 0.500 0.000 0.500
Ca 0.500 0.500 0.000
Dy 0.000 0.000 0.500
Dy 0.000 0.500 0.000
Dy 0.500 0.000 0.000
Ho 0.500 0.500 0.500
Se 0.247 0.747 0.747
Se 0.248 0.248 0.248
Se 0.253 0.253 0.753
Se 0.253 0.753 0.253
Se 0.747 0.247 0.747
Se 0.747 0.747 0.247
Se 0.752 0.752 0.752
Se 0.753 0.253 0.253
CELL_PARAMETERS angstrom
4.096 2.365 6.835
-4.096 2.365 6.835
0.000 -4.730 6.835

=====

Entry 9:
! GGA-PBE CaDy4HoSe8, relaxed; values from VASP
! final energy	-5.57	eV/atom
! SG	R3m
! total magnetic moment	0.000	μB per atom
&SYSTEM
  ibrav = 0, nat = 14, ntyp = 4
/
ATOMIC_SPECIES
Ca 40.08 Ca.upf
Dy 162.50 Dy.upf
Ho 164.93 Ho.upf
Se 78.96 Se.upf
ATOMIC_POSITIONS crystal
Ca 0.000 0.000 0.000
Dy 0.119 0.627 0.627
Dy 0.250 0.250 0.250
Dy 0.627 0.119 0.627
Dy 0.627 0.627 0.119
Ho 0.627 0.627 0.627
Se 0.383 0.383 0.383
Se 0.384 0.384 0.851
Se 0.384 0.851 0.384
Se 0.405 0.865 0.865
Se 0.851 0.384 0.384
Se 0.865 0.405 0.865
Se 0.865 0.865 0.405
Se 0.865 0.865 0.865
CELL_PARAMETERS angstrom
4.225 2.439 6.894
-4.225 2.439 6.894
0.000 -4.879 6.894

=====

Entry 10:
! GGA-PBE CaDyHo2Se4, relaxed; values from VASP
! final energy	-5.51	eV/atom
! SG	P2/m
! total magnetic moment	0.000	μB per atom
&SYSTEM
  ibrav = 0, nat = 8, ntyp = 4
/
ATOMIC_SPECIES
Ca 40.08 Ca.upf
Dy 162.50 Dy.upf
Ho 164.93 Ho.upf
Se 78.96 Se.upf
ATOMIC_POSITIONS crystal
Ca 0.000 0.000 0.000
Dy 0.000 0.500 0.500
Ho 0.500 0.000 0.500
Ho 0.500 0.500 0.000
Se 0.252 0.000 0.750
Se 0.254 0.500 0.252
Se 0.746 0.500 0.748
Se 0.748 0.000 0.250
CELL_PARAMETERS angstrom
7.085 0.000 0.000
0.000 4.072 0.000
-2.327 0.000 6.698

=====

Entry 11:
! GGA-PBE Ca4Dy3HoSe8, relaxed; values from VASP
! final energy	-5.26	eV/atom
! SG	R-3m
! total magnetic moment	0.000	μB per atom
&SYSTEM
  ibrav = 0, nat = 16, ntyp = 4
/
ATOMIC_SPECIES
Ca 40.08 Ca.upf
Dy 162.50 Dy.upf
Ho 164.93 Ho.upf
Se 78.96 Se.upf
ATOMIC_POSITIONS crystal
Ca 0.000 0.000 0.000
Ca 0.000 0.500 0.500
Ca 0.500 0.000 0.500
Ca 0.500 0.500 0.000
Dy 0.000 0.000 0.500
Dy 0.000 0.500 0.000
Dy 0.500 0.000 0.000
Ho 0.500 0.500 0.500
Se 0.249 0.249 0.249
Se 0.249 0.748 0.748
Se 0.252 0.252 0.751
Se 0.252 0.751 0.252
Se 0.748 0.249 0.748
Se 0.748 0.748 0.249
Se 0.751 0.252 0.252
Se 0.751 0.751 0.751
CELL_PARAMETERS angstrom
4.102 2.368 6.830
-4.102 2.368 6.830
0.000 -4.737 6.830

=====

Entry 12:
! GGA-PBE CaDy2Ho3Se6, relaxed; values from VASP
! final energy	-5.60	eV/atom
! SG	C2/m
! total magnetic moment	0.000	μB per atom
&SYSTEM
  ibrav = 0, nat = 12, ntyp = 4
/
ATOMIC_SPECIES
Ca 40.08 Ca.upf
Dy 162.50 Dy.upf
Ho 164.93 Ho.upf
Se 78.96 Se.upf
ATOMIC_POSITIONS crystal
Ca 0.000 0.000 0.000
Dy 0.329 0.329 0.659
Dy 0.671 0.671 0.341
Ho 0.000 0.000 0.500
Ho 0.333 0.333 0.173
Ho 0.667 0.667 0.827
Se 0.164 0.164 0.584
Se 0.167 0.167 0.081
Se 0.499 0.499 0.747
Se 0.501 0.501 0.253
Se 0.833 0.833 0.919
Se 0.836 0.836 0.416
CELL_PARAMETERS angstrom
8.895 -2.035 0.000
8.895 2.035 0.000
-1.897 0.000 7.972

=====

Entry 13:
! GGA-PBE CaSmDyHo, relaxed; values from VASP
! final energy	-3.82	eV/atom
! SG	F-43m
! energy relative to the elements	0.153	eV per atom
! total magnetic moment	0.000	μB per atom
&SYSTEM
  ibrav = 0, nat = 16, ntyp = 4
/
ATOMIC_SPECIES
Ca 40.08 Ca.upf
Sm 150.36 Sm.upf
Dy 162.50 Dy.upf
Ho 164.93 Ho.upf
ATOMIC_POSITIONS crystal
Ca 0.000 0.000 0.000
Ca 0.000 0.500 0.500
Ca 0.500 0.000 0.500
Ca 0.500 0.500 0.000
Sm 0.250 0.250 0.750
Sm 0.250 0.750 0.250
Sm 0.750 0.250 0.250
Sm 0.750 0.750 0.750
Dy 0.250 0.250 0.250
Dy 0.250 0.750 0.750
Dy 0.750 0.250 0.750
Dy 0.750 0.750 0.250
Ho 0.000 0.000 0.500
Ho 0.000 0.500 0.000
Ho 0.500 0.000 0.000
Ho 0.500 0.500 0.500
CELL_PARAMETERS angstrom
8.148 0.000 0.000
0.000 8.148 0.000
0.000 0.000 8.148

=====

Entry 14:
! GGA-PBE CaDyHo2Te4, relaxed; values from VASP
! final energy	-4.89	eV/atom
! SG	P2/m
! total magnetic moment	0.000	μB per atom
&SYSTEM
  ibrav = 0, nat = 8, ntyp = 4
/
ATOMIC_SPECIES
Ca 40.08 Ca.upf
Dy 162.50 Dy.upf
Ho 164.93 Ho.upf
Te 127.60 Te.upf
ATOMIC_POSITIONS crystal
Ca 0.000 0.000 0.000
Dy 0.000 0.500 0.500
Ho 0.500 0.000 0.500
Ho 0.500 0.500 0.000
Te 0.252 0.000 0.750
Te 0.254 0.500 0.253
Te 0.746 0.500 0.747
Te 0.748 0.000 0.250
CELL_PARAMETERS angstrom
7.581 0.000 0.000
0.000 4.354 0.000
-2.487 0.000 7.173

=====

Entry 15:
! GGA-PBE CaDy4HoTe8, relaxed; values from VASP
! final energy	-4.89	eV/atom
! SG	R3m
! total magnetic moment	0.000	μB per atom
&SYSTEM
  ibrav = 0, nat = 14, ntyp = 4
/
ATOMIC_SPECIES
Ca 40.08 Ca.upf
Dy 162.50 Dy.upf
Ho 164.93 Ho.upf
Te 127.60 Te.upf
ATOMIC_POSITIONS crystal
Ca 0.000 0.000 0.000
Dy 0.119 0.627 0.627
Dy 0.250 0.250 0.250
Dy 0.627 0.119 0.627
Dy 0.627 0.627 0.119
Ho 0.627 0.627 0.627
Te 0.383 0.383 0.383
Te 0.384 0.384 0.851
Te 0.384 0.851 0.384
Te 0.404 0.865 0.865
Te 0.851 0.384 0.384
Te 0.865 0.404 0.865
Te 0.865 0.865 0.404
Te 0.865 0.865 0.865
CELL_PARAMETERS angstrom
4.544 2.624 7.419
-4.544 2.624 7.419
0.000 -5.247 7.419

=====

Entry 16:
! GGA-PBE CaDy3Ho2Te6, relaxed; values from VASP
! final energy	-4.98	eV/atom
! SG	C2/m
! total magnetic moment	0.000	μB per atom
&SYSTEM
  ibrav = 0, nat = 12, ntyp = 4
/
ATOMIC_SPECIES
Ca 40.08 Ca.upf
Dy 162.50 Dy.upf
Ho 164.93 Ho.upf
Te 127.60 Te.upf
ATOMIC_POSITIONS crystal
Ca 0.000 0.000 0.000
Dy 0.000 0.000 0.500
Dy 0.334 0.334 0.176
Dy 0.666 0.666 0.824
Ho 0.329 0.329 0.658
Ho 0.671 0.671 0.342
Te 0.165 0.165 0.580
Te 0.168 0.168 0.083
Te 0.497 0.497 0.747
Te 0.503 0.503 0.253
Te 0.832 0.832 0.917
Te 0.835 0.835 0.420
CELL_PARAMETERS angstrom
9.525 -2.182 0.000
9.525 2.182 0.000
-2.058 0.000 8.509

=====

Entry 17:
! GGA-PBE Ca3DyHo2Te6, relaxed; values from VASP
! final energy	-4.66	eV/atom
! SG	C2/m
! total magnetic moment	0.000	μB per atom
&SYSTEM
  ibrav = 0, nat = 12, ntyp = 4
/
ATOMIC_SPECIES
Ca 40.08 Ca.upf
Dy 162.50 Dy.upf
Ho 164.93 Ho.upf
Te 127.60 Te.upf
ATOMIC_POSITIONS crystal
Ca 0.000 0.000 0.000
Ca 0.334 0.666 0.000
Ca 0.666 0.334 0.000
Dy 0.500 0.500 0.500
Ho 0.167 0.833 0.500
Ho 0.833 0.167 0.500
Te 0.084 0.419 0.256
Te 0.247 0.247 0.744
Te 0.419 0.084 0.256
Te 0.581 0.916 0.744
Te 0.753 0.753 0.256
Te 0.916 0.581 0.744
CELL_PARAMETERS angstrom
3.799 -6.573 0.000
3.799 6.573 0.000
-2.535 0.000 7.315

=====

Entry 18:
! GGA-PBE Ca3Dy3HoTe8, relaxed; values from VASP
! final energy	-4.78	eV/atom
! SG	R-3m
! total magnetic moment	0.000	μB per atom
&SYSTEM
  ibrav = 0, nat = 15, ntyp = 4
/
ATOMIC_SPECIES
Ca 40.08 Ca.upf
Dy 162.50 Dy.upf
Ho 164.93 Ho.upf
Te 127.60 Te.upf
ATOMIC_POSITIONS crystal
Ca 0.000 0.500 0.500
Ca 0.500 0.000 0.500
Ca 0.500 0.500 0.000
Dy 0.000 0.000 0.500
Dy 0.000 0.500 0.000
Dy 0.500 0.000 0.000
Ho 0.500 0.500 0.500
Te 0.245 0.749 0.749
Te 0.248 0.248 0.248
Te 0.251 0.251 0.755
Te 0.251 0.755 0.251
Te 0.749 0.245 0.749
Te 0.749 0.749 0.245
Te 0.752 0.752 0.752
Te 0.755 0.251 0.251
CELL_PARAMETERS angstrom
4.374 2.526 7.335
-4.374 2.526 7.335
0.000 -5.051 7.335

=====

Entry 19:
! GGA-PBE Ca3DyHo3Te8, relaxed; values from VASP
! final energy	-4.77	eV/atom
! SG	R-3m
! total magnetic moment	0.000	μB per atom
&SYSTEM
  ibrav = 0, nat = 15, ntyp = 4
/
ATOMIC_SPECIES
Ca 40.08 Ca.upf
Dy 162.50 Dy.upf
Ho 164.93 Ho.upf
Te 127.60 Te.upf
ATOMIC_POSITIONS crystal
Ca 0.000 0.500 0.500
Ca 0.500 0.000 0.500
Ca 0.500 0.500 0.000
Dy 0.500 0.500 0.500
Ho 0.000 0.000 0.500
Ho 0.000 0.500 0.000
Ho 0.500 0.000 0.000
Te 0.243 0.751 0.751
Te 0.248 0.248 0.248
Te 0.249 0.249 0.757
Te 0.249 0.757 0.249
Te 0.751 0.243 0.751
Te 0.751 0.751 0.243
Te 0.752 0.752 0.752
Te 0.757 0.249 0.249
CELL_PARAMETERS angstrom
4.366 2.521 7.323
-4.366 2.521 7.323
0.000 -5.042 7.323

=====

Entry 20:
! GGA-PBE CaDyHoTl, relaxed; values from VASP
! final energy	-3.42	eV/atom
! SG	F-43m
! energy relative to the elements	-0.029	eV per atom
! total magnetic moment	0.000	μB per atom
&SYSTEM
  ibrav = 0, nat = 16, ntyp = 4
/
ATOMIC_SPECIES
Ca 40.08 Ca.upf
Dy 162.50 Dy.upf
Ho 164.93 Ho.upf
Tl 204.38 Tl.upf
ATOMIC_POSITIONS crystal
Ca 0.000 0.000 0.000
Ca 0.000 0.500 0.500
Ca 0.500 0.000 0.500
Ca 0.500 0.500 0.000
Dy 0.250 0.250 0.250
Dy 0.250 0.750 0.750
Dy 0.750 0.250 0.750
Dy 0.750 0.750 0.250
Ho 0.250 0.250 0.750
Ho 0.250 0.750 0.250
Ho 0.750 0.250 0.250
Ho 0.750 0.750 0.750
Tl 0.000 0.000 0.500
Tl 0.000 0.500 0.000
Tl 0.500 0.000 0.000
Tl 0.500 0.500 0.500
CELL_PARAMETERS angstrom
7.782 0.000 0.000
0.000 7.782 0.000
0.000 0.000 7.782